[1]
# BeFeCl2, relaxed, DFT PBE
data_BeFeCl2
_cell_length_a 3.2803
_cell_length_b 3.2803
_cell_length_c 8.8061
_cell_angle_alpha 74.87
_cell_angle_beta 74.87
_cell_angle_gamma 55.24
_space_group_name_H-M_alt 'P 1'
_space_group_IT_number 1
_space_group_name_Hall 'P 1'
loop_
_atom_site_label
_atom_site_type_symbol
_atom_site_fract_x
_atom_site_fract_y
_atom_site_fract_z
Fe1 Fe 0.5402 0.5402 0.4776
Be1 Be 0.3005 0.3005 0.2627
Cl1 Cl 0.7835 0.7835 0.6562
Cl2 Cl 0.8758 0.8758 0.1035
# Magnetization ... 3.12 μB per formula unit
# Total energy ... -17.17 eV for the cell shown
# Energy above the lowest structure with this stoichiometry ... 0.0 meV/atom
# Raw formation energy ... -321 meV per atom

[2]
# Be2FeCl, relaxed, DFT PBE
data_Be2FeCl
_cell_length_a 3.8684
_cell_length_b 3.8684
_cell_length_c 5.5650
_cell_angle_alpha 83.53
_cell_angle_beta 83.53
_cell_angle_gamma 43.18
_space_group_name_H-M_alt 'P 1'
_space_group_IT_number 1
_space_group_name_Hall 'P 1'
loop_
_atom_site_label
_atom_site_type_symbol
_atom_site_fract_x
_atom_site_fract_y
_atom_site_fract_z
Be1 Be 0.6791 0.6791 0.8505
Be2 Be 0.9496 0.9496 0.0042
Fe1 Fe 0.2192 0.2192 0.1505
Cl1 Cl 0.6520 0.6520 0.4948
# Magnetization ... 1.73 μB per formula unit
# Total energy ... -17.21 eV for the cell shown
# Energy above the lowest structure with this stoichiometry ... 25.9 meV/atom
# Raw formation energy ... 138 meV per atom

[3]
# BeFeCl2, relaxed, DFT PBE
data_BeFeCl2
_cell_length_a 9.5704
_cell_length_b 9.5704
_cell_length_c 9.5704
_cell_angle_alpha 18.46
_cell_angle_beta 18.46
_cell_angle_gamma 18.46
_space_group_name_H-M_alt 'P 1'
_space_group_IT_number 1
_space_group_name_Hall 'P 1'
loop_
_atom_site_label
_atom_site_type_symbol
_atom_site_fract_x
_atom_site_fract_y
_atom_site_fract_z
Be1 Be 0.5000 0.5000 0.5000
Cl1 Cl 0.1209 0.1209 0.1209
Cl2 Cl 0.8791 0.8791 0.8791
Fe1 Fe 0.0000 0.0000 0.0000
# Magnetization ... 3.25 μB per formula unit
# Total energy ... -16.42 eV for the cell shown
# Energy above the lowest structure with this stoichiometry ... 185.3 meV/atom
# Raw formation energy ... -136 meV per atom

[4]
# BeFeCl, relaxed, DFT PBE
data_BeFeCl
_cell_length_a 3.8632
_cell_length_b 3.8632
_cell_length_c 3.8632
_cell_angle_alpha 60.00
_cell_angle_beta 60.00
_cell_angle_gamma 60.00
_space_group_name_H-M_alt 'P 1'
_space_group_IT_number 1
_space_group_name_Hall 'P 1'
loop_
_atom_site_label
_atom_site_type_symbol
_atom_site_fract_x
_atom_site_fract_y
_atom_site_fract_z
Cl1 Cl 0.5000 0.5000 0.5000
Be1 Be 0.0000 0.0000 0.0000
Fe1 Fe 0.7500 0.7500 0.7500
# Magnetization ... 1.65 μB per formula unit
# Total energy ... -11.69 eV for the cell shown
# Energy above the lowest structure with this stoichiometry ... 571.1 meV/atom
# Raw formation energy ... 782 meV per atom

[5]
# BeFeCl2, relaxed, DFT PBE
data_BeFeCl2
_cell_length_a 3.1372
_cell_length_b 3.1371
_cell_length_c 7.1794
_cell_angle_alpha 90.00
_cell_angle_beta 90.00
_cell_angle_gamma 90.00
_space_group_name_H-M_alt 'P 1'
_space_group_IT_number 1
_space_group_name_Hall 'P 1'
loop_
_atom_site_label
_atom_site_type_symbol
_atom_site_fract_x
_atom_site_fract_y
_atom_site_fract_z
Fe1 Fe 0.0000 0.0000 0.5753
Be1 Be 0.5000 0.5000 0.6753
Cl1 Cl 0.5000 0.5000 0.3685
Cl2 Cl 0.0000 0.0000 0.8809
# Magnetization ... 2.00 μB per formula unit
# Total energy ... -16.27 eV for the cell shown
# Energy above the lowest structure with this stoichiometry ... 223.6 meV/atom
# Raw formation energy ... -97 meV per atom

[6]
# BeFeCl2, relaxed, DFT PBE
data_BeFeCl2
_cell_length_a 3.2525
_cell_length_b 3.2525
_cell_length_c 10.5345
_cell_angle_alpha 90.00
_cell_angle_beta 90.00
_cell_angle_gamma 125.93
_space_group_name_H-M_alt 'P 1'
_space_group_IT_number 1
_space_group_name_Hall 'P 1'
loop_
_atom_site_label
_atom_site_type_symbol
_atom_site_fract_x
_atom_site_fract_y
_atom_site_fract_z
Cl1 Cl 0.0000 0.0000 0.8883
Cl2 Cl 0.0000 0.0000 0.6117
Fe1 Fe 0.5000 0.5000 0.2500
Be1 Be 0.5000 0.5000 0.7500
# Magnetization ... 3.25 μB per formula unit
# Total energy ... -15.77 eV for the cell shown
# Energy above the lowest structure with this stoichiometry ... 348.8 meV/atom
# Raw formation energy ... 28 meV per atom

[7]
# Be2FeCl, relaxed, DFT PBE
data_Be2FeCl
_cell_length_a 2.8839
_cell_length_b 2.8839
_cell_length_c 5.6886
_cell_angle_alpha 90.00
_cell_angle_beta 90.00
_cell_angle_gamma 90.00
_space_group_name_H-M_alt 'P 1'
_space_group_IT_number 1
_space_group_name_Hall 'P 1'
loop_
_atom_site_label
_atom_site_type_symbol
_atom_site_fract_x
_atom_site_fract_y
_atom_site_fract_z
Be1 Be 0.0000 0.0000 0.5675
Be2 Be 0.0000 0.0000 0.9325
Fe1 Fe 0.5000 0.5000 0.7500
Cl1 Cl 0.5000 0.5000 0.2500
# Magnetization ... 1.13 μB per formula unit
# Total energy ... -17.01 eV for the cell shown
# Energy above the lowest structure with this stoichiometry ... 76.0 meV/atom
# Raw formation energy ... 188 meV per atom

[8]
# BeFeCl2, relaxed, DFT PBE
data_BeFeCl2
_cell_length_a 3.7854
_cell_length_b 3.2850
_cell_length_c 5.2925
_cell_angle_alpha 96.50
_cell_angle_beta 90.00
_cell_angle_gamma 90.00
_space_group_name_H-M_alt 'P 1'
_space_group_IT_number 1
_space_group_name_Hall 'P 1'
loop_
_atom_site_label
_atom_site_type_symbol
_atom_site_fract_x
_atom_site_fract_y
_atom_site_fract_z
Cl1 Cl 0.0000 0.0200 0.9967
Cl2 Cl 0.0000 0.4800 0.5033
Be1 Be 0.5000 0.7500 0.7500
Fe1 Fe 0.5000 0.2500 0.2500
# Magnetization ... 2.39 μB per formula unit
# Total energy ... -14.55 eV for the cell shown
# Energy above the lowest structure with this stoichiometry ... 655.1 meV/atom
# Raw formation energy ... 334 meV per atom

[9]
# Be2FeCl, relaxed, DFT PBE
data_Be2FeCl
_cell_length_a 2.7569
_cell_length_b 4.1010
_cell_length_c 4.1010
_cell_angle_alpha 90.00
_cell_angle_beta 90.00
_cell_angle_gamma 90.00
_space_group_name_H-M_alt 'P 1'
_space_group_IT_number 1
_space_group_name_Hall 'P 1'
loop_
_atom_site_label
_atom_site_type_symbol
_atom_site_fract_x
_atom_site_fract_y
_atom_site_fract_z
Be1 Be 0.0000 0.5000 0.5000
Be2 Be 0.0000 0.0000 0.0000
Cl1 Cl 0.5000 0.5000 0.0000
Fe1 Fe 0.5000 0.0000 0.5000
# Magnetization ... 1.55 μB per formula unit
# Total energy ... -15.60 eV for the cell shown
# Energy above the lowest structure with this stoichiometry ... 427.4 meV/atom
# Raw formation energy ... 539 meV per atom

[10]
# Be2FeCl, relaxed, DFT PBE
data_Be2FeCl
_cell_length_a 2.7521
_cell_length_b 2.7521
_cell_length_c 6.6685
_cell_angle_alpha 90.00
_cell_angle_beta 90.00
_cell_angle_gamma 106.36
_space_group_name_H-M_alt 'P 1'
_space_group_IT_number 1
_space_group_name_Hall 'P 1'
loop_
_atom_site_label
_atom_site_type_symbol
_atom_site_fract_x
_atom_site_fract_y
_atom_site_fract_z
Be1 Be 0.0000 0.0000 0.9712
Be2 Be 0.0000 0.0000 0.5288
Fe1 Fe 0.5000 0.5000 0.7500
Cl1 Cl 0.5000 0.5000 0.2500
# Magnetization ... 1.56 μB per formula unit
# Total energy ... -16.51 eV for the cell shown
# Energy above the lowest structure with this stoichiometry ... 200.3 meV/atom
# Raw formation energy ... 312 meV per atom

[11]
# Be2FeCl, relaxed, DFT PBE
data_Be2FeCl
_cell_length_a 2.8458
_cell_length_b 2.9410
_cell_length_c 5.7973
_cell_angle_alpha 89.75
_cell_angle_beta 90.00
_cell_angle_gamma 90.00
_space_group_name_H-M_alt 'P 1'
_space_group_IT_number 1
_space_group_name_Hall 'P 1'
loop_
_atom_site_label
_atom_site_type_symbol
_atom_site_fract_x
_atom_site_fract_y
_atom_site_fract_z
Be1 Be 0.0000 0.2488 0.9358
Be2 Be 0.0000 0.2512 0.5642
Cl1 Cl 0.5000 0.2500 0.2500
Fe1 Fe 0.5000 0.7500 0.7500
# Magnetization ... 1.12 μB per formula unit
# Total energy ... -17.31 eV for the cell shown
# Energy above the lowest structure with this stoichiometry ... 0.0 meV/atom
# Raw formation energy ... 112 meV per atom

[12]
# Be2FeCl, relaxed, DFT PBE
data_Be2FeCl
_cell_length_a 6.1372
_cell_length_b 6.1372
_cell_length_c 5.0888
_cell_angle_alpha 52.91
_cell_angle_beta 52.91
_cell_angle_gamma 90.00
_space_group_name_H-M_alt 'P 1'
_space_group_IT_number 1
_space_group_name_Hall 'P 1'
loop_
_atom_site_label
_atom_site_type_symbol
_atom_site_fract_x
_atom_site_fract_y
_atom_site_fract_z
Cl1 Cl 0.5000 0.5000 0.0000
Cl2 Cl 0.2500 0.7500 0.5000
Be1 Be 0.8750 0.8549 0.7500
Be2 Be 0.1451 0.6250 0.2500
Be3 Be 0.3750 0.3951 0.7500
Be4 Be 0.6049 0.1250 0.2500
Fe1 Fe 0.7500 0.2500 0.5000
Fe2 Fe 0.0000 0.0000 0.0000
# Magnetization ... 2.33 μB per formula unit
# Total energy ... -30.48 eV for the cell shown
# Energy above the lowest structure with this stoichiometry ... 518.8 meV/atom
# Raw formation energy ... 631 meV per atom

[13]
# BeGa2FeCl, relaxed, DFT PBE
data_BeGa2FeCl
_cell_length_a 4.6016
_cell_length_b 4.5232
_cell_length_c 4.6016
_cell_angle_alpha 90.00
_cell_angle_beta 90.00
_cell_angle_gamma 90.00
_space_group_name_H-M_alt 'P 1'
_space_group_IT_number 1
_space_group_name_Hall 'P 1'
loop_
_atom_site_label
_atom_site_type_symbol
_atom_site_fract_x
_atom_site_fract_y
_atom_site_fract_z
Ga1 Ga 0.5000 0.0000 0.0000
Ga2 Ga 0.0000 0.0000 0.5000
Cl1 Cl 0.5000 0.5000 0.5000
Fe1 Fe 0.0000 0.5000 0.0000
Be1 Be 0.0000 0.0000 0.0000
# Magnetization ... 3.27 μB per formula unit
# Total energy ... -18.29 eV for the cell shown
# Raw formation energy ... 360 meV per atom

[14]
# LaBe2FeCl, relaxed, DFT PBE
data_LaBe2FeCl
_cell_length_a 4.3958
_cell_length_b 4.3162
_cell_length_c 4.3958
_cell_angle_alpha 90.00
_cell_angle_beta 90.00
_cell_angle_gamma 90.00
_space_group_name_H-M_alt 'P 1'
_space_group_IT_number 1
_space_group_name_Hall 'P 1'
loop_
_atom_site_label
_atom_site_type_symbol
_atom_site_fract_x
_atom_site_fract_y
_atom_site_fract_z
Be1 Be 0.0000 0.0000 0.5000
Be2 Be 0.5000 0.0000 0.0000
Cl1 Cl 0.0000 0.0000 0.0000
La1 La 0.5000 0.5000 0.5000
Fe1 Fe 0.0000 0.5000 0.0000
# Magnetization ... 1.52 μB per formula unit
# Total energy ... -18.39 eV for the cell shown
# Raw formation energy ... 859 meV per atom